Computed, not measured: a relaxed Rb4NpO5 crystal at the PBE level of DFT.

The space group is I4 (No. 79) and the conventional cell measures 8.850, 8.850 and 5.604 Å, with angles of 90.00, 90.00 and 90.00 degrees. Symmetry generates all atoms from Rb at (0.106, 0.705, 0.000), Np at (0.000, 0.000, 0.521), O at (0.000, 0.000, 0.896) and O at (0.069, 0.782, 0.501).

The value obtained for the raw total energy is -124.6 eV per cell. The density of states at the Fermi level comes out at 0.00 states/eV per cell. The formation energy (no corrections) comes out at -2.071 eV per atom. The total magnetic moment is 0.10 μB/atom.

---

Computed, not measured: a relaxed GaSeBr crystal at the PBE level of DFT.

The space group is P2_1/m (No. 11) and the conventional cell measures 6.791, 3.879 and 8.022 Å, with angles of 90.00, 90.92 and 90.00 degrees. Symmetry generates all atoms from Ga at (0.051, 0.250, 0.345), Se at (0.177, 0.250, 0.641) and Br at (0.285, 0.250, 0.140).

The value obtained for the raw total energy is -20.6 eV per cell. The density of states at the Fermi level comes out at 0.00 states/eV per cell. The formation energy (no corrections) comes out at -0.708 eV per atom. The total magnetic moment is 0.00 μB/atom.

---

Computed, not measured: a relaxed NbCoSi2Ag crystal at the PBE level of DFT.

The space group is P4/mmm (No. 123) and the conventional cell measures 4.596, 4.596 and 4.584 Å, with angles of 90.00, 90.00 and 90.00 degrees. Symmetry generates all atoms from Nb at (0.000, 0.000, 0.000), Co at (0.500, 0.500, 0.000), Si at (0.000, 0.500, 0.500) and Ag at (0.500, 0.500, 0.500).

The value obtained for the raw total energy is -23.7 eV per cell. The density of states at the Fermi level comes out at 8.45 states/eV per cell. The formation energy (no corrections) comes out at 1.440 eV per atom. The total magnetic moment is 0.02 μB/atom.

---

Computed, not measured: a relaxed Dy4Y2In crystal at the PBE level of DFT.

The space group is R-3m (No. 166, hexagonal axes) and the conventional cell measures 3.6198, 3.6198 and 57.7798 Å, with angles of 90.00, 90.00 and 120.00 degrees. Symmetry generates all atoms from Dy at (0.0000, 0.0000, 0.0927), Dy at (0.0000, 0.0000, 0.2901), Y at (0.0000, 0.0000, 0.1914) and In at (0.0000, 0.0000, 0.0000).

The value obtained for the raw total energy is -103.9 eV per cell. The density of states at the Fermi level comes out at 33.91 states/eV per cell. For the formation energy, the calculation gives -0.0798 eV/atom. The total magnetic moment is 0.14 μB/atom.

---

Computed, not measured: a relaxed Cs2Mg2PaO6 crystal at the PBE level of DFT.

The space group is R-3m (No. 166, hexagonal axes) and the conventional cell measures 6.3195, 6.3195 and 19.3101 Å, with angles of 90.00, 90.00 and 120.00 degrees. Symmetry generates all atoms from Cs at (0.0000, 0.0000, 0.2074), Mg at (0.0000, 0.0000, 0.3973), Pa at (0.0000, 0.0000, 0.0000) and O at (0.0142, 0.5071, 0.7341).

The value obtained for the raw total energy is -209.7 eV per cell. The density of states at the Fermi level comes out at 31.74 states/eV per cell. The formation energy (no corrections) comes out at -2.343 eV per atom. The total magnetic moment is 0.10 μB/atom.

---

Computed, not measured: a relaxed LiPa2N2O2 crystal at the PBE level of DFT.

The space group is P-3m1 (No. 164) and the conventional cell measures 3.7533, 3.7533 and 8.8200 Å, with angles of 90.00, 90.00 and 120.00 degrees. Symmetry generates all atoms from Li at (0.0000, 0.0000, 0.0000), Pa at (0.3333, 0.6667, 0.6715), N at (0.3333, 0.6667, 0.4095) and O at (0.0000, 0.0000, 0.2162).

The value obtained for the raw total energy is -63.5 eV per cell. The density of states at the Fermi level comes out at 3.88 states/eV per cell. The formation energy (no corrections) comes out at -2.289 eV per atom. The total magnetic moment is 0.14 μB/atom.